! Sr2ScMnO5 (GGA+U, optimized geometry); values from VASP
&SYSTEM
  ibrav = 0, nat = 18, ntyp = 4
/
ATOMIC_SPECIES
Sr 87.62 Sr.upf
Sc 44.96 Sc.upf
O 16.00 O.upf
Mn 54.94 Mn.upf
CELL_PARAMETERS angstrom
-1.7106 1.8388 2.3971
-3.9457 0.1342 -5.4329
-5.2654 -9.5747 3.5875
ATOMIC_POSITIONS crystal
Sr 0.1520 0.3040 0.2887
Sc 0.4583 0.9165 0.4495
O 0.7275 0.4550 0.1532
Sr 0.9084 0.8168 0.1682
O 0.6973 0.3945 0.9130
Sr 0.8480 0.6960 0.7887
O 0.0718 0.1437 0.0370
Sc 0.5417 0.0835 0.9495
O 0.4966 0.9932 0.7860
Mn 0.2260 0.4520 0.0233
O 0.3027 0.6055 0.4130
O 0.2725 0.5450 0.6532
O 0.6248 0.2496 0.5051
O 0.9282 0.8563 0.5370
O 0.3752 0.7504 0.0051
O 0.5034 0.0068 0.2860
Sr 0.0916 0.1832 0.6682
Mn 0.7740 0.5480 0.5233
! * space group: Cmc2_1 (36)
! * spin magnetization: 4.0 μB/f.u.
! * calculated total energy: -130.655 eV per cell